(1)
{"formula": "Ca2CdSn2", "functional": "GGA-PBE", "state": "relaxed", "lattice_angstrom": [[9.0718, 0.0000, 0.0000], [0.0000, 9.0718, 0.0000], [0.0000, 0.0000, 3.6608]], "species": ["Ca", "Ca", "Ca", "Ca", "Cd", "Cd", "Sn", "Sn", "Sn", "Sn"], "fractional_positions": [[0.1317, 0.3683, 0.0000], [0.3683, 0.8683, 0.0000], [0.6317, 0.1317, 0.0000], [0.8683, 0.6317, 0.0000], [0.0000, 0.0000, 0.0000], [0.5000, 0.5000, 0.0000], [0.1723, 0.6723, 0.5000], [0.3277, 0.1723, 0.5000], [0.6723, 0.8277, 0.5000], [0.8277, 0.3277, 0.5000]], "dos_ef_per_ev_cell": 6.06, "formation_enthalpy_0k_ev_per_fu": -1.3, "space_group": "P4/mbm (127)", "relative_energy_ev_per_atom": 0.2651}

=====

(2)
{"formula": "Re2TcTe", "functional": "GGA-PBE", "state": "relaxed", "lattice_angstrom": [[1.5177, -2.3759, 0.0000], [1.5177, 2.3759, 0.0000], [0.0000, 0.0000, 9.6197]], "species": ["Re", "Re", "Tc", "Te"], "fractional_positions": [[0.0000, 0.0000, 0.2219], [0.0000, 0.0000, 0.7781], [0.5000, 0.5000, 0.0000], [0.5000, 0.5000, 0.5000]], "raw_formation_energy_mev_per_atom": 883.2, "dos_ef_per_ev_cell": 4.58, "space_group": "Cmmm (65)"}

=====

(3)
{"formula": "CsNa2Ca", "functional": "GGA-PBE", "state": "relaxed", "lattice_angstrom": [[4.5761, 0.0000, 0.0000], [0.0000, 4.5761, 0.0000], [0.0000, 0.0000, 9.8584]], "species": ["Cs", "Na", "Na", "Ca"], "fractional_positions": [[0.0000, 0.0000, 0.0000], [0.5000, 0.5000, 0.3077], [0.5000, 0.5000, 0.6923], [0.0000, 0.0000, 0.5000]], "dos_ef_per_ev_cell": 3.06, "formation_enthalpy_0k_ev_per_fu": 0.4, "space_group": "P4/mmm (123)", "relative_energy_ev_per_atom": 0.0000}

=====

(4)
{"formula": "SmEr2Pa", "functional": "GGA-PBE", "state": "relaxed", "lattice_angstrom": [[5.7827, 0.0000, 0.0000], [0.0000, 5.7827, 0.0000], [0.0000, 0.0000, 3.5393]], "species": ["Sm", "Er", "Er", "Pa"], "fractional_positions": [[0.0000, 0.0000, 0.0000], [0.0000, 0.5000, 0.5000], [0.5000, 0.0000, 0.5000], [0.5000, 0.5000, 0.0000]], "dos_ef_per_ev_cell": 7.37, "formation_enthalpy_0k_ev_per_fu": 1.2, "space_group": "P4/mmm (123)", "relative_energy_ev_per_atom": 0.1779}

=====

(5)
{"formula": "Tm4FePb2", "functional": "GGA-PBE", "state": "relaxed", "lattice_angstrom": [[-2.4351, 2.4351, 8.1463], [2.4351, -2.4351, 8.1463], [2.4351, 2.4351, -8.1463]], "species": ["Tm", "Tm", "Tm", "Tm", "Fe", "Pb", "Pb"], "fractional_positions": [[0.0000, 0.5000, 0.5000], [0.1689, 0.1689, 0.0000], [0.5000, 0.0000, 0.5000], [0.8311, 0.8311, 0.0000], [0.0000, 0.0000, 0.0000], [0.3586, 0.3586, 0.0000], [0.6414, 0.6414, 0.0000]], "dos_ef_per_ev_cell": 4.35, "formation_enthalpy_0k_ev_per_fu": -1.2, "space_group": "I4/mmm (139)"}

=====

(6)
{"formula": "LiTm2Sc", "functional": "GGA-PBE", "state": "relaxed", "lattice_angstrom": [[3.5099, 0.0000, 0.0000], [0.0000, 3.5099, 0.0000], [0.0000, 0.0000, 8.4043]], "species": ["Li", "Tm", "Tm", "Sc"], "fractional_positions": [[0.0000, 0.0000, 0.0000], [0.5000, 0.5000, 0.2380], [0.5000, 0.5000, 0.7620], [0.0000, 0.0000, 0.5000]], "dos_ef_per_ev_cell": 5.37, "formation_enthalpy_0k_ev_per_fu": 0.4, "space_group": "P4/mmm (123)", "relative_energy_ev_per_atom": 0.0000}

=====

(7)
{"formula": "La4Sb2Se", "functional": "GGA-PBE", "state": "relaxed", "lattice_angstrom": [[-2.7515, 2.7515, 8.3560], [2.7515, -2.7515, 8.3560], [2.7515, 2.7515, -8.3560]], "species": ["La", "La", "La", "La", "Sb", "Sb", "Se"], "fractional_positions": [[0.0000, 0.5000, 0.5000], [0.1744, 0.1744, 0.0000], [0.5000, 0.0000, 0.5000], [0.8256, 0.8256, 0.0000], [0.3677, 0.3677, 0.0000], [0.6323, 0.6323, 0.0000], [0.0000, 0.0000, 0.0000]], "raw_formation_energy_mev_per_atom": -955.2, "dos_ef_per_ev_cell": 8.32, "space_group": "I4/mmm (139)"}

=====

(8)
{"formula": "Cr2In2Ga", "functional": "GGA-PBE", "state": "relaxed", "lattice_angstrom": [[6.3170, 0.0000, 0.0000], [0.0000, 6.3170, 0.0000], [0.0000, 0.0000, 4.3096]], "species": ["Cr", "Cr", "Cr", "Cr", "In", "In", "In", "In", "Ga", "Ga"], "fractional_positions": [[0.1208, 0.3792, 0.0000], [0.3792, 0.8792, 0.0000], [0.6208, 0.1208, 0.0000], [0.8792, 0.6208, 0.0000], [0.1743, 0.6743, 0.5000], [0.3257, 0.1743, 0.5000], [0.6743, 0.8257, 0.5000], [0.8257, 0.3257, 0.5000], [0.0000, 0.0000, 0.0000], [0.5000, 0.5000, 0.0000]], "dos_ef_per_ev_cell": 6.31, "formation_enthalpy_0k_ev_per_fu": 1.2, "space_group": "P4/mbm (127)"}

=====

(9)
{"formula": "CaAgW", "functional": "GGA-PBE", "state": "relaxed", "lattice_angstrom": [[0.0000, 2.0176, 7.2423], [2.0109, 0.0000, 7.2423], [2.0109, 2.0176, 0.0000]], "species": ["Ca", "Ag", "W"], "fractional_positions": [[0.0000, 0.0000, 0.0000], [0.3218, 0.3218, 0.6782], [0.6710, 0.6710, 0.3290]], "dos_ef_per_ev_cell": 3.59, "formation_enthalpy_0k_ev_per_fu": 2.0, "space_group": "Fmm2 (42)", "relative_energy_ev_per_atom": 0.0000}

=====

(10)
{"formula": "Be2AgW", "functional": "GGA-PBE", "state": "relaxed", "lattice_angstrom": [[0.0000, 3.0041, 3.0041], [3.0041, 0.0000, 3.0041], [3.0041, 3.0041, 0.0000]], "species": ["Be", "Be", "Ag", "W"], "fractional_positions": [[0.0000, 0.0000, 0.0000], [0.2500, 0.2500, 0.2500], [0.7500, 0.7500, 0.7500], [0.5000, 0.5000, 0.5000]], "dos_ef_per_ev_cell": 4.46, "formation_enthalpy_0k_ev_per_fu": 3.4, "space_group": "F-43m (216)", "relative_energy_ev_per_atom": 0.6775}

=====

(11)
{"formula": "RbVTe2", "functional": "GGA-PBE", "state": "relaxed", "lattice_angstrom": [[3.9681, -6.6399, 0.0000], [3.9681, 6.6399, 0.0000], [-2.5954, 0.0000, 5.8201]], "species": ["Rb", "Rb", "V", "V", "Te", "Te", "Te", "Te"], "fractional_positions": [[0.1398, 0.8602, 0.7500], [0.8602, 0.1398, 0.2500], [0.4992, 0.5008, 0.2500], [0.5008, 0.4992, 0.7500], [0.1852, 0.4082, 0.8954], [0.4082, 0.1852, 0.3954], [0.5918, 0.8148, 0.6046], [0.8148, 0.5918, 0.1046]], "raw_formation_energy_mev_per_atom": -580.3, "dos_ef_per_ev_cell": 7.06, "space_group": "C2/c (15)"}

=====

(12)
{"formula": "LaTm2Ti", "functional": "GGA-PBE", "state": "relaxed", "lattice_angstrom": [[1.6803, 0.9701, 11.7970], [-1.6803, 0.9701, 11.7970], [0.0000, -1.9402, 11.7970]], "species": ["La", "Tm", "Tm", "Ti"], "fractional_positions": [[0.0000, 0.0000, 0.0000], [0.4178, 0.4178, 0.4178], [0.5822, 0.5822, 0.5822], [0.5000, 0.5000, 0.5000]], "dos_ef_per_ev_cell": 5.54, "formation_enthalpy_0k_ev_per_fu": 1.7, "space_group": "R-3m (166)", "relative_energy_ev_per_atom": 0.2934}

=====

(13)
{"formula": "Y2SiTe", "functional": "GGA-PBE", "state": "relaxed", "lattice_angstrom": [[-2.2478, 2.9181, 3.9346], [2.2478, -2.9181, 3.9346], [2.2478, 2.9181, -3.9346]], "species": ["Y", "Y", "Si", "Te"], "fractional_positions": [[0.2371, 0.2371, 0.0000], [0.7629, 0.7629, 0.0000], [0.0000, 0.5000, 0.5000], [0.5000, 0.0000, 0.5000]], "raw_formation_energy_mev_per_atom": -766.9, "dos_ef_per_ev_cell": 1.48, "space_group": "Immm (71)", "relative_energy_ev_per_atom": 0.3561}

=====

(14)
{"formula": "LiY2Bi", "functional": "GGA-PBE", "state": "relaxed", "lattice_angstrom": [[4.9600, 0.0000, 0.0000], [0.0000, 4.9600, 0.0000], [0.0000, 0.0000, 4.3510]], "species": ["Li", "Y", "Y", "Bi"], "fractional_positions": [[0.0000, 0.0000, 0.0000], [0.0000, 0.5000, 0.5000], [0.5000, 0.0000, 0.5000], [0.5000, 0.5000, 0.0000]], "dos_ef_per_ev_cell": 3.50, "formation_enthalpy_0k_ev_per_fu": -1.6, "space_group": "P4/mmm (123)"}

=====

(15)
{"formula": "PmNd6Dy2Th", "functional": "GGA-PBE", "state": "relaxed", "lattice_angstrom": [[4.6911, -7.5453, 0.0000], [4.6911, 7.5453, 0.0000], [-1.4330, 0.0000, 9.7435]], "species": ["Pm", "Pm", "Nd", "Nd", "Nd", "Nd", "Nd", "Nd", "Nd", "Nd", "Nd", "Nd", "Nd", "Nd", "Dy", "Dy", "Dy", "Dy", "Th", "Th"], "fractional_positions": [[0.0948, 0.9052, 0.7500], [0.9052, 0.0948, 0.2500], [0.0112, 0.7990, 0.3804], [0.0767, 0.5148, 0.1855], [0.2010, 0.9888, 0.1196], [0.2575, 0.6076, 0.5579], [0.3924, 0.7425, 0.9421], [0.4852, 0.9233, 0.3145], [0.5148, 0.0767, 0.6855], [0.6076, 0.2575, 0.0579], [0.7425, 0.3924, 0.4421], [0.7990, 0.0112, 0.8804], [0.9233, 0.4852, 0.8145], [0.9888, 0.2010, 0.6196], [0.2136, 0.3033, 0.9498], [0.3033, 0.2136, 0.4498], [0.6967, 0.7864, 0.5502], [0.7864, 0.6967, 0.0502], [0.4710, 0.5290, 0.2500], [0.5290, 0.4710, 0.7500]], "dos_ef_per_ev_cell": 29.09, "formation_enthalpy_0k_ev_per_fu": 1.4, "space_group": "C2/c (15)"}

=====

(16)
{"formula": "Hf2FeMoH", "functional": "GGA-PBE", "state": "relaxed", "lattice_angstrom": [[4.5770, 0.0000, 0.0000], [0.0000, 4.5770, 0.0000], [0.0000, 0.0000, 3.3353]], "species": ["Hf", "Hf", "Fe", "Mo", "H"], "fractional_positions": [[0.0000, 0.5000, 0.0000], [0.5000, 0.0000, 0.0000], [0.0000, 0.0000, 0.5000], [0.5000, 0.5000, 0.5000], [0.0000, 0.0000, 0.0000]], "dos_ef_per_ev_cell": 5.49, "space_group": "P4/mmm (123)", "dft_energy_ev_per_atom": -8.71}

=====

(17)
{"formula": "LiTmNi2", "functional": "GGA-PBE", "state": "relaxed", "lattice_angstrom": [[4.0198, 0.0000, 0.0000], [0.0000, 4.0198, 0.0000], [0.0000, 0.0000, 3.7082]], "species": ["Li", "Tm", "Ni", "Ni"], "fractional_positions": [[0.0000, 0.0000, 0.0000], [0.5000, 0.5000, 0.0000], [0.0000, 0.5000, 0.5000], [0.5000, 0.0000, 0.5000]], "dos_ef_per_ev_cell": 0.76, "formation_enthalpy_0k_ev_per_fu": -0.8, "space_group": "P4/mmm (123)", "relative_energy_ev_per_atom": 0.0075}

=====

(18)
{"formula": "CaTa2IrCl", "functional": "GGA-PBE", "state": "relaxed", "lattice_angstrom": [[4.5664, 0.0000, 0.0000], [0.0000, 4.5664, 0.0000], [0.0000, 0.0000, 4.7289]], "species": ["Ca", "Ta", "Ta", "Ir", "Cl"], "fractional_positions": [[0.0000, 0.0000, 0.0000], [0.0000, 0.5000, 0.5000], [0.5000, 0.0000, 0.5000], [0.5000, 0.5000, 0.0000], [0.5000, 0.5000, 0.5000]], "raw_formation_energy_mev_per_atom": 757.4, "dos_ef_per_ev_cell": 4.23, "space_group": "P4/mmm (123)"}

=====

(19)
{"formula": "Tb2Ho3Cd6", "functional": "GGA-PBE", "state": "relaxed", "lattice_angstrom": [[-2.4805, 2.4805, 13.8501], [2.4805, -2.4805, 13.8501], [2.4805, 2.4805, -13.8501]], "species": ["Tb", "Tb", "Ho", "Ho", "Ho", "Cd", "Cd", "Cd", "Cd", "Cd", "Cd"], "fractional_positions": [[0.1345, 0.1345, 0.0000], [0.8655, 0.8655, 0.0000], [0.3637, 0.3637, 0.0000], [0.5000, 0.5000, 0.0000], [0.6363, 0.6363, 0.0000], [0.0648, 0.5648, 0.5000], [0.2492, 0.2492, 0.0000], [0.4352, 0.9352, 0.5000], [0.5648, 0.0648, 0.5000], [0.7508, 0.7508, 0.0000], [0.9352, 0.4352, 0.5000]], "dos_ef_per_ev_cell": 9.23, "formation_enthalpy_0k_ev_per_fu": 1.2, "space_group": "I4/mmm (139)"}

=====

(20)
{"formula": "BeV2Ru", "functional": "GGA-PBE", "state": "relaxed", "lattice_angstrom": [[-3.3192, 3.3192, 2.3621], [3.3192, -3.3192, 2.3621], [3.3192, 3.3192, -2.3621]], "species": ["Be", "Be", "V", "V", "V", "V", "Ru", "Ru"], "fractional_positions": [[0.0000, 0.0000, 0.0000], [0.7500, 0.2500, 0.5000], [0.1126, 0.6250, 0.9876], [0.3750, 0.3626, 0.4876], [0.6374, 0.1250, 0.0124], [0.8750, 0.8874, 0.5124], [0.2500, 0.7500, 0.5000], [0.5000, 0.5000, 0.0000]], "dos_ef_per_ev_cell": 9.31, "formation_enthalpy_0k_ev_per_fu": 1.5, "space_group": "I-42d (122)"}